Entry 1:
An optimized crystal structure of Ho2BeCo5B2, computed with PBE-GGA.

Lattice parameters (Å, degrees): 8.8866 8.8866 2.9847 90.00 90.00 90.00
Positions (direct):
Ho 0.1774 0.3226 0.0000
Ho 0.3226 0.8226 0.0000
Ho 0.6774 0.1774 0.0000
Ho 0.8226 0.6774 0.0000
Be 0.0000 0.0000 0.0000
Be 0.5000 0.5000 0.0000
Co 0.0000 0.5000 0.5000
Co 0.0665 0.7805 0.5000
Co 0.2195 0.0665 0.5000
Co 0.2805 0.5665 0.5000
Co 0.4335 0.2805 0.5000
Co 0.5000 0.0000 0.5000
Co 0.5665 0.7195 0.5000
Co 0.7195 0.4335 0.5000
Co 0.7805 0.9335 0.5000
Co 0.9335 0.2195 0.5000
B 0.1205 0.6205 0.0000
B 0.3795 0.1205 0.0000
B 0.6205 0.8795 0.0000
B 0.8795 0.3795 0.0000

Its space group is P4/mbm, No. 127. The crystal system is tetragonal. For the calculated formation energy, the calculation gives -0.28 eV/atom.



Entry 2:
An optimized crystal structure of Cd4IrPt, computed with PBE-GGA.

Lattice parameters (Å, degrees): 5.4364 5.4364 5.4364 60.00 60.00 60.00
Positions (direct):
Cd 0.1249 0.1249 0.1249
Cd 0.1249 0.1249 0.6252
Cd 0.1249 0.6252 0.1249
Cd 0.6252 0.1249 0.1249
Ir 0.7500 0.7500 0.7500
Pt 0.5000 0.5000 0.5000

Its space group is F-43m, No. 216. The crystal system is cubic. For the calculated formation energy, the calculation gives 0.43 eV/atom.



Entry 3:
An optimized crystal structure of SrAlInAu3, computed with PBE-GGA.

Lattice parameters (Å, degrees): 7.3279 7.3279 6.7309 90.00 90.00 126.24
Positions (direct):
Sr 0.2035 0.7965 0.7500
Sr 0.7965 0.2035 0.2500
Al 0.4619 0.5381 0.7500
Al 0.5381 0.4619 0.2500
In 0.1345 0.8655 0.2500
In 0.8655 0.1345 0.7500
Au 0.2197 0.2197 0.0000
Au 0.2197 0.2197 0.5000
Au 0.3399 0.6601 0.2500
Au 0.6601 0.3399 0.7500
Au 0.7803 0.7803 0.0000
Au 0.7803 0.7803 0.5000

Its space group is Cmcm, No. 63. The crystal system is orthorhombic. For the calculated formation energy, the calculation gives -0.40 eV/atom.